# LaScOs2 PBE optimized geometry
data_LaScOs2
_chemical_formula_sum 'La2 Sc2 Os4'
_space_group_name_H-M_alt 'C 1 m 1'
_space_group_IT_number 8
_space_group_name_Hall 'C -2y'
_cell_length_a 10.730
_cell_length_b 3.171
_cell_length_c 4.987
_cell_angle_alpha 90.00
_cell_angle_beta 109.16
_cell_angle_gamma 90.00
loop_
_atom_site_label
_atom_site_fract_x
_atom_site_fract_y
_atom_site_fract_z
La1 0.000 0.000 0.000
Sc1 0.290 0.500 0.290
Os1 0.031 0.500 0.543
Os2 0.239 0.000 0.678
# Energy of formation (eV/atom): 0.087
# N(E_F) (states/eV/cell): 4.94



# Zr2Cr2Fe PBE optimized geometry
data_Zr2Cr2Fe
_chemical_formula_sum 'Zr4 Cr4 Fe2'
_space_group_name_H-M_alt 'P 4/m b m'
_space_group_IT_number 127
_space_group_name_Hall '-P 4 2ab'
_cell_length_a 6.060
_cell_length_b 6.060
_cell_length_c 4.367
_cell_angle_alpha 90.00
_cell_angle_beta 90.00
_cell_angle_gamma 90.00
loop_
_atom_site_label
_atom_site_fract_x
_atom_site_fract_y
_atom_site_fract_z
Zr1 0.179 0.321 0.000
Cr1 0.133 0.633 0.500
Fe1 0.000 0.000 0.500
# Energy of formation (eV/atom): 0.193
# N(E_F) (states/eV/cell): 9.32



# Sr3Pb5F12 PBE optimized geometry
data_Sr3Pb5F12
_chemical_formula_sum 'Sr24 Pb40 F96'
_space_group_name_H-M_alt 'I a -3 d'
_space_group_IT_number 230
_space_group_name_Hall '-I 4bd 2c 3'
_cell_length_a 14.949
_cell_length_b 14.949
_cell_length_c 14.949
_cell_angle_alpha 90.00
_cell_angle_beta 90.00
_cell_angle_gamma 90.00
loop_
_atom_site_label
_atom_site_fract_x
_atom_site_fract_y
_atom_site_fract_z
Sr1 0.000 0.250 0.125
Pb1 0.000 0.000 0.000
Pb2 0.000 0.250 0.375
F1 0.000 0.063 0.160
# Formation energy (no corrections) (eV per atom): -2.49
# N(E_F) (states/eV/cell): 79.86



# LaV2Ir PBE optimized geometry
data_LaV2Ir
_chemical_formula_sum 'La4 V8 Ir4'
_space_group_name_H-M_alt 'I 41/a m d'
_space_group_IT_number 141
_cell_length_a 4.533
_cell_length_b 4.533
_cell_length_c 17.749
_cell_angle_alpha 90.00
_cell_angle_beta 90.00
_cell_angle_gamma 90.00
loop_
_space_group_symop_operation_xyz
'x,y,z'
'-x,-y,-z'
'-y+1/4,x+3/4,z+1/4'
'y+1/4,-x+3/4,-z+1/4'
'-x+1/2,-y,z+1/2'
'x+1/2,y,-z+1/2'
'y+1/4,-x+1/4,z+3/4'
'-y+1/4,x+1/4,-z+3/4'
'x,-y,-z'
'-x,y,z'
'-y+1/4,-x+1/4,-z+3/4'
'y+1/4,x+1/4,z+3/4'
'-x+1/2,y,-z+1/2'
'x+1/2,-y,z+1/2'
'y+1/4,x+3/4,-z+1/4'
'-y+1/4,-x+3/4,z+1/4'
'x+1/2,y+1/2,z+1/2'
'-x+1/2,-y+1/2,-z+1/2'
'-y+3/4,x+1/4,z+3/4'
'y+3/4,-x+1/4,-z+3/4'
'-x,-y+1/2,z'
'x,y+1/2,-z'
'y+3/4,-x+3/4,z+1/4'
'-y+3/4,x+3/4,-z+1/4'
'x+1/2,-y+1/2,-z+1/2'
'-x+1/2,y+1/2,z+1/2'
'-y+3/4,-x+3/4,-z+1/4'
'y+3/4,x+3/4,z+1/4'
'-x,y+1/2,-z'
'x,-y+1/2,z'
'y+3/4,x+1/4,-z+3/4'
'-y+3/4,-x+1/4,z+3/4'
loop_
_atom_site_label
_atom_site_fract_x
_atom_site_fract_y
_atom_site_fract_z
La1 0.000 0.250 0.375
V1 0.000 0.000 0.000
Ir1 0.000 0.250 0.875
# Energy of formation (eV/atom): 0.373
# N(E_F) (states/eV/cell): 22.23



# Pm3Y3MgTe8 PBE optimized geometry
data_Pm3Y3MgTe8
_chemical_formula_sum 'Pm9 Y9 Mg3 Te24'
_space_group_name_H-M_alt 'R -3 m'
_space_group_IT_number 166
_space_group_name_Hall '-R 3 2"'
_cell_length_a 8.7779
_cell_length_b 8.7779
_cell_length_c 21.6856
_cell_angle_alpha 90.00
_cell_angle_beta 90.00
_cell_angle_gamma 120.00
loop_
_atom_site_label
_atom_site_fract_x
_atom_site_fract_y
_atom_site_fract_z
Pm1 0.0000 0.5000 0.0000
Y1 0.0000 0.5000 0.5000
Mg1 0.0000 0.0000 0.5000
Te1 0.0000 0.0000 0.2473
Te2 0.0038 0.5019 0.2463
# Formation energy (no corrections) (eV per atom): -1.33
# N(E_F) (states/eV/cell): 13.40



# K2AlRh PBE optimized geometry
data_K2AlRh
_chemical_formula_sum 'K4 Al2 Rh2'
_space_group_name_H-M_alt 'C m m m'
_space_group_IT_number 65
_space_group_name_Hall '-C 2 2'
_cell_length_a 5.431
_cell_length_b 10.634
_cell_length_c 3.583
_cell_angle_alpha 90.00
_cell_angle_beta 90.00
_cell_angle_gamma 90.00
loop_
_atom_site_label
_atom_site_fract_x
_atom_site_fract_y
_atom_site_fract_z
K1 0.250 0.250 0.000
Al1 0.000 0.000 0.500
Rh1 0.000 0.500 0.500
# Energy of formation (eV/atom): 0.579
# N(E_F) (states/eV/cell): 5.41



# POs2Br PBE optimized geometry
data_POs2Br
_chemical_formula_sum 'P1 Os2 Br1'
_space_group_name_H-M_alt 'P 1 2/m 1'
_space_group_IT_number 10
_space_group_name_Hall '-P 2y'
_cell_length_a 2.981
_cell_length_b 3.549
_cell_length_c 6.817
_cell_angle_alpha 90.00
_cell_angle_beta 100.78
_cell_angle_gamma 90.00
loop_
_atom_site_label
_atom_site_fract_x
_atom_site_fract_y
_atom_site_fract_z
P1 0.000 0.000 0.000
Os1 0.328 0.500 0.171
Br1 0.500 0.000 0.500
# Formation energy (no corrections) (eV per atom): 0.66
# N(E_F) (states/eV/cell): 2.20



# BaNi2Cl PBE optimized geometry
data_BaNi2Cl
_chemical_formula_sum 'Ba4 Ni8 Cl4'
_space_group_name_H-M_alt 'F m -3 m'
_space_group_IT_number 225
_space_group_name_Hall '-F 4 2 3'
_cell_length_a 6.917
_cell_length_b 6.917
_cell_length_c 6.917
_cell_angle_alpha 90.00
_cell_angle_beta 90.00
_cell_angle_gamma 90.00
loop_
_atom_site_label
_atom_site_fract_x
_atom_site_fract_y
_atom_site_fract_z
Ba1 0.000 0.000 0.000
Ni1 0.250 0.250 0.250
Cl1 0.000 0.000 0.500
# Formation energy (no corrections) (eV per atom): 0.48
# N(E_F) (states/eV/cell): 14.67



# Pr7SmTm3 PBE optimized geometry
data_Pr7SmTm3
_chemical_formula_sum 'Pr7 Sm1 Tm3'
_space_group_name_H-M_alt 'P -1'
_space_group_IT_number 2
_space_group_name_Hall '-P 1'
_cell_length_a 6.613
_cell_length_b 6.810
_cell_length_c 8.831
_cell_angle_alpha 100.18
_cell_angle_beta 98.75
_cell_angle_gamma 96.10
loop_
_atom_site_label
_atom_site_fract_x
_atom_site_fract_y
_atom_site_fract_z
Pr1 0.000 0.000 0.000
Pr2 0.052 0.712 0.642
Pr3 0.214 0.226 0.707
Pr4 0.485 0.737 0.913
Sm1 0.000 0.500 0.000
Tm1 0.317 0.931 0.336
Tm2 0.500 0.500 0.500
# Energy of formation (eV/atom): 0.136
# N(E_F) (states/eV/cell): 17.27



# DyNbOsRu PBE optimized geometry
data_DyNbOsRu
_chemical_formula_sum 'Dy4 Nb4 Os4 Ru4'
_space_group_name_H-M_alt 'F -4 3 m'
_space_group_IT_number 216
_space_group_name_Hall 'F -4 2 3'
_cell_length_a 6.559
_cell_length_b 6.559
_cell_length_c 6.559
_cell_angle_alpha 90.00
_cell_angle_beta 90.00
_cell_angle_gamma 90.00
loop_
_atom_site_label
_atom_site_fract_x
_atom_site_fract_y
_atom_site_fract_z
Dy1 0.000 0.000 0.000
Nb1 0.000 0.000 0.500
Os1 0.250 0.250 0.750
Ru1 0.250 0.250 0.250
# Energy of formation (eV/atom): -0.225
# N(E_F) (states/eV/cell): 8.92



# CuTcO5 PBE optimized geometry
data_CuTcO5
_chemical_formula_sum 'Cu4 Tc4 O20'
_space_group_name_H-M_alt 'C 1 2/c 1'
_space_group_IT_number 15
_space_group_name_Hall '-C 2yc'
_cell_length_a 7.685
_cell_length_b 9.224
_cell_length_c 6.892
_cell_angle_alpha 90.00
_cell_angle_beta 109.36
_cell_angle_gamma 90.00
loop_
_atom_site_label
_atom_site_fract_x
_atom_site_fract_y
_atom_site_fract_z
Cu1 0.000 0.000 0.000
Tc1 0.000 0.310 0.250
O1 0.000 0.055 0.750
O2 0.088 0.196 0.098
O3 0.175 0.417 0.406
# Formation energy (no corrections) (eV per atom): -0.90
# N(E_F) (states/eV/cell): 6.97



# La2EuEr PBE optimized geometry
data_La2EuEr
_chemical_formula_sum 'La2 Eu1 Er1'
_space_group_name_H-M_alt 'P 4/m m m'
_space_group_IT_number 123
_space_group_name_Hall '-P 4 2'
_cell_length_a 5.293
_cell_length_b 5.293
_cell_length_c 5.124
_cell_angle_alpha 90.00
_cell_angle_beta 90.00
_cell_angle_gamma 90.00
loop_
_atom_site_label
_atom_site_fract_x
_atom_site_fract_y
_atom_site_fract_z
La1 0.000 0.500 0.000
Eu1 0.000 0.000 0.500
Er1 0.500 0.500 0.500
# Energy of formation (eV/atom): 0.078
# N(E_F) (states/eV/cell): 6.98



# PmCdCo PBE optimized geometry
data_PmCdCo
_chemical_formula_sum 'Pm2 Cd2 Co2'
_space_group_name_H-M_alt 'P -3 m 1'
_space_group_IT_number 164
_space_group_name_Hall '-P 3 2"'
_cell_length_a 3.9181
_cell_length_b 3.9181
_cell_length_c 10.7649
_cell_angle_alpha 90.00
_cell_angle_beta 90.00
_cell_angle_gamma 120.00
loop_
_atom_site_label
_atom_site_fract_x
_atom_site_fract_y
_atom_site_fract_z
Pm1 0.0000 0.0000 0.1767
Cd1 0.3333 0.6667 0.5921
Co1 0.3333 0.6667 0.0004
# Energy of formation (eV/atom): -0.172
# N(E_F) (states/eV/cell): 4.97



# Cs2CuSBr6 PBE optimized geometry
data_Cs2CuSBr6
_chemical_formula_sum 'Cs8 Cu4 S4 Br24'
_space_group_name_H-M_alt 'F m m m'
_space_group_IT_number 69
_space_group_name_Hall '-F 2 2'
_cell_length_a 10.385
_cell_length_b 11.330
_cell_length_c 11.587
_cell_angle_alpha 90.00
_cell_angle_beta 90.00
_cell_angle_gamma 90.00
loop_
_atom_site_label
_atom_site_fract_x
_atom_site_fract_y
_atom_site_fract_z
Cs1 0.250 0.250 0.250
Cu1 0.000 0.000 0.000
S1 0.000 0.000 0.500
Br1 0.000 0.000 0.201
Br2 0.000 0.221 0.500
Br3 0.246 0.000 0.500
# Formation energy (no corrections) (eV per atom): -0.78
# N(E_F) (states/eV/cell): 15.35



# Nd2Dy5Th4 PBE optimized geometry
data_Nd2Dy5Th4
_chemical_formula_sum 'Nd2 Dy5 Th4'
_space_group_name_H-M_alt 'P -1'
_space_group_IT_number 2
_space_group_name_Hall '-P 1'
_cell_length_a 3.529
_cell_length_b 9.006
_cell_length_c 11.600
_cell_angle_alpha 82.93
_cell_angle_beta 86.17
_cell_angle_gamma 80.74
loop_
_atom_site_label
_atom_site_fract_x
_atom_site_fract_y
_atom_site_fract_z
Nd1 0.213 0.176 0.464
Dy1 0.000 0.000 0.000
Dy2 0.194 0.557 0.346
Dy3 0.444 0.919 0.261
Th1 0.205 0.721 0.806
Th2 0.319 0.355 0.933
# Energy of formation (eV/atom): 0.093
# N(E_F) (states/eV/cell): 17.31



# NdTc5P3 PBE optimized geometry
data_NdTc5P3
_chemical_formula_sum 'Nd4 Tc20 P12'
_space_group_name_H-M_alt 'C m c m'
_space_group_IT_number 63
_space_group_name_Hall '-C 2c 2'
_cell_length_a 4.018
_cell_length_b 12.720
_cell_length_c 11.515
_cell_angle_alpha 90.00
_cell_angle_beta 90.00
_cell_angle_gamma 90.00
loop_
_atom_site_label
_atom_site_fract_x
_atom_site_fract_y
_atom_site_fract_z
Nd1 0.000 0.174 0.250
Tc1 0.000 0.000 0.000
Tc2 0.000 0.193 0.562
Tc3 0.000 0.459 0.146
P1 0.000 0.125 0.750
P2 0.000 0.373 0.549
# Energy of formation (eV/atom): -0.473
# N(E_F) (states/eV/cell): 28.52



# CrCo2S PBE optimized geometry
data_CrCo2S
_chemical_formula_sum 'Cr4 Co8 S4'
_space_group_name_H-M_alt 'I -4 2 d'
_space_group_IT_number 122
_space_group_name_Hall 'I -4 2bw'
_cell_length_a 4.986
_cell_length_b 4.986
_cell_length_c 10.019
_cell_angle_alpha 90.00
_cell_angle_beta 90.00
_cell_angle_gamma 90.00
loop_
_atom_site_label
_atom_site_fract_x
_atom_site_fract_y
_atom_site_fract_z
Cr1 0.000 0.000 0.000
Co1 0.232 0.250 0.625
S1 0.000 0.000 0.500
# Formation energy (no corrections) (eV per atom): 0.50
# N(E_F) (states/eV/cell): 18.54



# TbZn3CuAg PBE optimized geometry
data_TbZn3CuAg
_chemical_formula_sum 'Tb4 Zn12 Cu4 Ag4'
_space_group_name_H-M_alt 'C m c m'
_space_group_IT_number 63
_space_group_name_Hall '-C 2c 2'
_cell_length_a 5.981
_cell_length_b 13.198
_cell_length_c 5.591
_cell_angle_alpha 90.00
_cell_angle_beta 90.00
_cell_angle_gamma 90.00
loop_
_atom_site_label
_atom_site_fract_x
_atom_site_fract_y
_atom_site_fract_z
Tb1 0.000 0.191 0.250
Zn1 0.000 0.358 0.750
Zn2 0.207 0.000 0.000
Cu1 0.000 0.146 0.750
Ag1 0.000 0.401 0.250
# Energy of formation (eV/atom): -0.051
# N(E_F) (states/eV/cell): 7.91



# InCuRh PBE optimized geometry
data_InCuRh
_chemical_formula_sum 'In4 Cu4 Rh4'
_space_group_name_H-M_alt 'F -4 3 m'
_space_group_IT_number 216
_space_group_name_Hall 'F -4 2 3'
_cell_length_a 6.090
_cell_length_b 6.090
_cell_length_c 6.090
_cell_angle_alpha 90.00
_cell_angle_beta 90.00
_cell_angle_gamma 90.00
loop_
_atom_site_label
_atom_site_fract_x
_atom_site_fract_y
_atom_site_fract_z
In1 0.000 0.000 0.000
Cu1 0.000 0.000 0.500
Rh1 0.250 0.250 0.250
# Energy of formation (eV/atom): 0.048
# N(E_F) (states/eV/cell): 5.16



# MnBeGa PBE optimized geometry
data_MnBeGa
_chemical_formula_sum 'Mn4 Be4 Ga4'
_space_group_name_H-M_alt 'A m a 2'
_space_group_IT_number 40
_space_group_name_Hall 'A 2 -2a'
_cell_length_a 3.906
_cell_length_b 4.062
_cell_length_c 8.652
_cell_angle_alpha 90.00
_cell_angle_beta 90.00
_cell_angle_gamma 90.00
loop_
_atom_site_label
_atom_site_fract_x
_atom_site_fract_y
_atom_site_fract_z
Mn1 0.250 0.221 0.000
Be1 0.250 0.203 0.362
Ga1 0.250 0.226 0.688
# Energy of formation (eV/atom): 0.013
# N(E_F) (states/eV/cell): 4.64